The following is a DFT calculation (PBE) of an optimized crystal structure of NaAc2CuO6.

a = 5.667 Å, b = 5.667 Å, c = 5.667 Å
α = 60.00°, β = 60.00°, γ = 60.00°
Positions (direct):
Na1 0.000 0.000 0.000
Ac1 0.250 0.250 0.250
Ac2 0.750 0.750 0.750
Cu1 0.500 0.500 0.500
O1 0.267 0.267 0.733
O2 0.267 0.733 0.267
O3 0.267 0.733 0.733
O4 0.733 0.267 0.267
O5 0.733 0.267 0.733
O6 0.733 0.733 0.267

SG: Fm-3m, No. 225
E_form (uncorrected): -1898.4 kJ/mol of formula units

***

The following is a DFT calculation (PBE) of an optimized crystal structure of HoLuTc.

a = 6.552 Å, b = 6.552 Å, c = 6.552 Å
α = 149.63°, β = 149.63°, γ = 43.48°
Positions (direct):
Ho1 0.000 0.000 0.000
Lu1 0.263 0.263 0.000
Tc1 0.634 0.634 0.000

SG: I4mm, No. 107
Formation energy from the elements: -102 meV/atom

***

The following is a DFT calculation (PBE) of an optimized crystal structure of CaLaNdHg.

a = 3.729 Å, b = 3.729 Å, c = 9.537 Å
α = 90.00°, β = 90.00°, γ = 90.00°
Positions (direct):
Ca1 0.000 0.000 0.000
La1 0.500 0.500 0.316
Nd1 0.000 0.000 0.586
Hg1 0.500 0.500 0.797

SG: P4mm, No. 99
Excess energy over the best structure of this formula in the dataset: 0 kJ/mol of formula units
Formation energy from the elements: -241 meV/atom

***

| no. | uncorrected energy (eV/cell) |
| --- | --- |
| 1 | -63.056 |
| 2 | -19.770 |
| 3 | -12.961 |